VASP calculation (GGA-PBE) on a relaxed Nd2RhPb8 crystal.

Results
* magnetic moment: 0.00 μB per formula unit
* ΔH_f (0 K): -269 meV per atom
* total energy: -49.51 eV per formula unit
* space group: P4/mmm

a b c (Å): 4.924 4.924 12.944
angles (deg): 90.00 90.00 90.00
Sites, in units of the cell vectors:
Nd  0.000  0.000  0.188
Nd  0.000  0.000  0.812
Rh  0.000  0.000  0.500
Pb  0.000  0.500  0.000
Pb  0.000  0.500  0.378
Pb  0.000  0.500  0.622
Pb  0.500  0.000  0.000
Pb  0.500  0.000  0.378
Pb  0.500  0.000  0.622
Pb  0.500  0.500  0.192
Pb  0.500  0.500  0.808